# 1
Cs4Rb3PbF8 (PBE, relaxed); formation energy (no corrections) = -2452 meV/atom; V = 26.88 Å³/atom; size of the total moment = 1.0 μB per formula unit; crystal system = monoclinic
1.0
8.1028 0.0000 0.0000
0.0000 8.1707 -0.1080
-4.0514 -4.1450 6.5501
F Cs Pb Rb
8 4 1 3
Cartesian
4.0514 3.9732 3.1844 F
4.0514 0.0755 2.7505 F
1.8617 2.3078 0.0817 F
0.0000 0.0524 3.2577 F
0.0000 3.9502 3.6916 F
2.1897 1.7179 6.3603 F
6.2411 2.3078 0.0817 F
-2.1897 1.7179 6.3603 F
4.0514 0.0000 0.0000 Cs
0.0000 0.0000 0.0000 Cs
-2.0257 -2.0725 3.2750 Cs
2.0257 -2.0725 3.2750 Cs
0.0000 4.0853 -0.0540 Pb
2.0257 2.0128 3.2210 Rb
4.0514 4.0853 -0.0540 Rb
-2.0257 2.0128 3.2210 Rb

# 2
Cs2Rh3PbF12 (PBE, relaxed); formation energy (no corrections) = -1945 meV/atom; V = 18.18 Å³/atom; DOS(E_F) = 4.74 states/eV/f.u.; size of the total moment = 1.0 μB per formula unit; crystal system = trigonal
1.0
-6.7192 -2.2911 -2.9721
-0.7376 -7.2372 -2.5119
-4.3845 -4.9342 3.9573
F Cs Rh Pb
12 2 3 1
Cartesian
-7.5046 -5.6273 -2.2272 F
-4.3368 -8.8352 0.7005 F
-3.4708 -4.0295 1.8048 F
-10.1867 -9.2862 -0.1098 F
-6.1080 -7.2083 1.9178 F
-3.9265 -8.5859 -1.9520 F
-5.7333 -7.2542 -3.4446 F
-4.6335 -2.7132 -1.6461 F
-1.6546 -5.1764 -1.4169 F
-7.2079 -11.7493 0.1194 F
-7.9148 -5.8766 0.4252 F
-8.3706 -10.4330 -3.3315 F
-4.5632 -5.5734 -0.5884 Cs
-7.2781 -8.8892 -0.9384 Cs
-3.3596 -1.1456 -1.4861 Rh
-0.3688 -3.6186 -1.2560 Rh
-2.1922 -2.4671 1.9787 Rh
0.0000 0.0000 0.0000 Pb

# 3
CsRhPbF6 (PBE, relaxed); formation energy (no corrections) = -2128 meV/atom; V = 20.46 Å³/atom; size of the total moment = 0.0 μB per formula unit; crystal system = orthorhombic
1.0
8.3906 0.0000 0.0000
0.0000 7.9147 0.0000
-4.1953 -3.9574 5.5465
F Cs Rh Pb
12 2 2 2
Cartesian
0.0000 5.9360 1.5301 F
0.0000 1.9787 5.1217 F
1.4312 4.0069 4.1341 F
1.4312 -0.0496 4.1341 F
-1.4312 -0.0496 4.1341 F
2.7641 -0.0496 1.4125 F
5.6265 -0.0496 1.4125 F
4.1953 1.9787 0.4248 F
2.7641 4.0069 1.4125 F
4.1953 -1.9787 4.0164 F
-1.4312 4.0069 4.1341 F
5.6265 4.0069 1.4125 F
0.0000 1.9787 1.6160 Cs
4.1953 1.9787 3.9305 Cs
4.1953 0.0000 0.0000 Rh
4.1953 3.9574 0.0000 Rh
2.0976 -1.9787 2.7733 Pb
-2.0976 -1.9787 2.7733 Pb

# 4
CsRuPb2F (PBE, relaxed); formation energy (no corrections) = -39 meV/atom; V = 26.51 Å³/atom; DOS(E_F) = 4.25 states/eV/f.u.; size of the total moment = 0.0 μB per formula unit; crystal system = tetragonal
1.0
-2.7649 -4.5750 1.0794
3.5658 -1.6608 2.0949
-1.7483 2.1633 4.6908
Cs Pb F Ru
1 2 1 1
Cartesian
-0.4737 -2.0362 3.9325 Cs
-1.3825 -2.2875 0.5397 Pb
-0.8741 1.0816 2.3454 Pb
1.7829 -0.8304 1.0475 F
0.0000 0.0000 0.0000 Ru

# 5
Cs2PbSF6 (PBE, relaxed); formation energy (no corrections) = -2093 meV/atom; V = 23.05 Å³/atom; DOS(E_F) = 0.00 states/eV/f.u.; size of the total moment = 0.0 μB per formula unit; crystal system = tetragonal
1.0
6.2044 0.0000 0.0000
0.0000 6.2044 0.0000
3.1022 3.1022 5.9866
F S Pb Cs
6 1 1 2
Cartesian
4.4663 4.4663 0.0000 F
3.1022 3.1022 3.6101 F
1.7382 4.4663 0.0000 F
1.7382 1.7382 0.0000 F
6.2044 6.2044 2.3765 F
4.4663 1.7382 0.0000 F
3.1022 3.1022 0.0000 S
0.0000 0.0000 0.0000 Pb
6.2044 3.1022 2.9933 Cs
3.1022 6.2044 2.9933 Cs

# 6
CsSbPbF6 (PBE, relaxed); formation energy (no corrections) = -2488 meV/atom; V = 20.57 Å³/atom; DOS(E_F) = 0.00 states/eV/f.u.; size of the total moment = 0.0 μB per formula unit; crystal system = triclinic
1.0
-5.0450 4.5471 -0.2894
-5.5770 -1.3319 -3.6541
-1.9687 -1.9411 3.7109
Pb F Cs Sb
1 6 1 1
Cartesian
-8.2649 0.9738 -0.3961 Pb
-5.9075 0.9708 1.3204 F
-6.2396 0.5390 -1.3413 F
-3.4898 -0.1954 1.9945 F
-5.2623 -1.5396 0.3498 F
-9.0084 1.0383 -2.5466 F
-7.7189 3.1553 -0.7504 F
-5.1612 4.4312 -0.0704 Cs
-4.3542 0.2694 0.2194 Sb